1.
VASP calculation (PBE) on an optimized crystal structure of Tl2IrAu2.

Output
D(E_F) = 5.5 states/eV per cell
ΔH_f (0 K) = 471 meV/atom
VASP energy = -3.56 eV per atom
V = 223 Å³ per cell

a b c (Å): 7.0380 7.0380 4.5038
angles (deg): 90.00 90.00 90.00
Atoms (fractional coordinates):
1 Au 0.8591 0.6409 0.0000
2 Au 0.1409 0.3591 0.0000
3 Tl 0.8251 0.3251 0.5000
4 Tl 0.3251 0.1749 0.5000
5 Au 0.3591 0.8591 0.0000
6 Ir 0.0000 0.0000 0.0000
7 Tl 0.1749 0.6749 0.5000
8 Au 0.6409 0.1409 0.0000
9 Tl 0.6749 0.8251 0.5000
10 Ir 0.5000 0.5000 0.0000

***

2.
VASP calculation (PBE) on an optimized crystal structure of Tl2IrAu.

Output
D(E_F) = 5.7 states/eV per cell
ΔH_f (0 K) = 708 meV/atom
VASP energy = -3.51 eV per atom
V = 253 Å³ per cell

a b c (Å): 6.4074 6.4074 7.6531
angles (deg): 65.25 65.25 90.00
Atoms (fractional coordinates):
1 Ir 0.5000 0.5000 0.0000
2 Tl 0.5976 0.1250 0.2500
3 Au 0.0000 0.0000 0.0000
4 Tl 0.3750 0.4024 0.7500
5 Au 0.7500 0.2500 0.5000
6 Ir 0.2500 0.7500 0.5000
7 Tl 0.1524 0.6250 0.2500
8 Tl 0.8750 0.8476 0.7500

***

3.
VASP calculation (PBE) on an optimized crystal structure of Tl3IrAu.

Output
D(E_F) = 2.0 states/eV per cell
ΔH_f (0 K) = 221 meV/atom
VASP energy = -3.63 eV per atom
V = 148 Å³ per cell

a b c (Å): 5.2895 5.2895 5.2895
angles (deg): 90.00 90.00 90.00
Atoms (fractional coordinates):
1 Tl 0.0000 0.5000 0.0000
2 Tl 0.0000 0.0000 0.5000
3 Ir 0.0000 0.0000 0.0000
4 Tl 0.5000 0.0000 0.0000
5 Au 0.5000 0.5000 0.5000

***

4.
VASP calculation (PBE) on an optimized crystal structure of TlIrAu2.

Output
D(E_F) = 2.8 states/eV per cell
ΔH_f (0 K) = 422 meV/atom
VASP energy = -4.02 eV per atom
V = 74 Å³ per cell

a b c (Å): 5.3663 5.3663 5.3663
angles (deg): 135.79 135.79 64.31
Atoms (fractional coordinates):
1 Tl 0.7500 0.2500 0.5000
2 Au 0.5000 0.5000 0.0000
3 Au 0.0000 0.0000 0.0000
4 Ir 0.2500 0.7500 0.5000

***

Which of these has the lowest V? TlIrAu2

***

Repeat the second record exactly.
VASP calculation (PBE) on an optimized crystal structure of Tl2IrAu.

Output
D(E_F) = 5.7 states/eV per cell
ΔH_f (0 K) = 708 meV/atom
VASP energy = -3.51 eV per atom
V = 253 Å³ per cell

a b c (Å): 6.4074 6.4074 7.6531
angles (deg): 65.25 65.25 90.00
Atoms (fractional coordinates):
1 Ir 0.5000 0.5000 0.0000
2 Tl 0.5976 0.1250 0.2500
3 Au 0.0000 0.0000 0.0000
4 Tl 0.3750 0.4024 0.7500
5 Au 0.7500 0.2500 0.5000
6 Ir 0.2500 0.7500 0.5000
7 Tl 0.1524 0.6250 0.2500
8 Tl 0.8750 0.8476 0.7500

***

Which of these has the highest ΔH_f (0 K)? Tl2IrAu